1.
Entry from Alexandria: SnGe2Au7 after structural relaxation (GGA-PBE).

## Properties
* formation energy: 0.037 eV/atom

Unit cell a=7.422 b=16.185 c=3.622 alpha=90.00 beta=90.00 gamma=90.00
Space group Cmmm (No. 65)
Asymmetric unit:
Sn  0.000  0.000  0.000 x2
Ge  0.000  0.329  0.500 x4
Au  0.000  0.222  0.000 x4
Au  0.000  0.500  0.500 x2
Au  0.191  0.108  0.500 x8

2.
Entry from Alexandria: Ba2PrSnSe4 after structural relaxation (GGA-PBE).

Unit cell a=8.920 b=9.048 c=12.713 alpha=90.00 beta=90.00 gamma=90.00
Space group Imma (No. 74)
Asymmetric unit:
Ba  0.000  0.000  0.000 x4
Ba  0.250  0.250  0.250 x4
Pr  0.250  0.250  0.750 x4
Sn  0.000  0.000  0.500 x4
Se  0.000  0.018  0.742 x8
Se  0.234  0.250  0.511 x8

3.
Entry from Alexandria: ZnFeTc2 after structural relaxation (GGA-PBE).

## Properties
* formation energy: 0.133 eV/atom

Unit cell a=3.087 b=3.087 c=5.759 alpha=90.00 beta=90.00 gamma=90.00
Space group P4mm (No. 99)
Asymmetric unit:
Zn  0.000  0.000  0.000 x1
Fe  0.500  0.500  0.227 x1
Tc  0.000  0.000  0.480 x1
Tc  0.500  0.500  0.729 x1

4.
Entry from Alexandria: IrOsAu3 after structural relaxation (GGA-PBE).

## Properties
* formation energy: 2.072 eV/atom

Unit cell a=4.973 b=4.973 c=4.973 alpha=90.00 beta=90.00 gamma=90.00
Space group Pm-3m (No. 221)
Asymmetric unit:
Ir  0.000  0.000  0.000 x1
Os  0.500  0.500  0.500 x1
Au  0.000  0.000  0.500 x3

5.
Entry from Alexandria: CaPt4Cl after structural relaxation (GGA-PBE).

Unit cell a=7.661 b=7.661 c=7.661 alpha=90.00 beta=90.00 gamma=90.00
Space group F-43m (No. 216)
Asymmetric unit:
Ca  0.000  0.000  0.000 x4
Pt  0.125  0.125  0.375 x16
Cl  0.250  0.250  0.750 x4

6.
Entry from Alexandria: RbMg2CdPt after structural relaxation (GGA-PBE).

## Properties
* formation energy: -0.304 eV/atom

Unit cell a=5.176 b=5.176 c=5.410 alpha=90.00 beta=90.00 gamma=90.00
Space group P4/mmm (No. 123)
Asymmetric unit:
Rb  0.000  0.000  0.000 x1
Mg  0.000  0.500  0.500 x2
Cd  0.500  0.500  0.000 x1
Pt  0.500  0.500  0.500 x1

7.
Entry from Alexandria: AcLaPmN3 after structural relaxation (GGA-PBE).

Unit cell a=6.460 b=3.728 c=9.639 alpha=90.00 beta=101.48 gamma=90.00
Space group P2_1/m (No. 11)
Asymmetric unit:
Ac  0.231  0.250  0.455 x2
La  0.358  0.750  0.813 x2
Pm  0.151  0.750  0.137 x2
N  0.021  0.250  0.655 x2
N  0.251  0.250  0.013 x2
N  0.476  0.750  0.305 x2

8.
Entry from Alexandria: Zn2TcMo after structural relaxation (GGA-PBE).

## Properties
* formation energy: 0.092 eV/atom

Unit cell a=3.936 b=3.936 c=7.511 alpha=90.00 beta=90.00 gamma=90.00
Space group I-4m2 (No. 119)
Asymmetric unit:
Zn  0.000  0.000  0.000 x2
Zn  0.000  0.500  0.250 x2
Tc  0.000  0.000  0.500 x2
Mo  0.000  0.500  0.750 x2

Calculated values (eV per formula unit) of final energy for the records, taken in order: -35.81; -38.90; -29.94; -19.56; -30.06; -12.63; -45.75; -23.38.
Calculated values (Bohr magnetons per cell) of total moment for the records, taken in order: 0.00; 0.00; 2.33; 4.57; 0.00; 0.00; 0.00; 0.00.